one) Computed, not measured: a relaxed CrPRhCl2 crystal at the PBE level of DFT.

Output
The space group is P4/mmm (123). Its density of states at the Fermi level is 0.546 states/eV/atom. The value obtained for the magnetization is 4.795 μB/cell.

Geometry as POSCAR:
```
CrPRhCl2
1.0
-0.855 1.523 4.699
-4.743 -1.586 -0.349
1.217 -3.972 1.509
P Cr Cl Rh
1 1 2 1
direct
0.000 0.000 0.500
0.500 0.500 0.500
0.000 0.500 0.000
0.500 0.000 0.000
0.000 0.000 0.000
```


two) Computed, not measured: a relaxed CrPRhCl2 crystal at the PBE level of DFT.

Output
The space group is P4/mmm (123). Its density of states at the Fermi level is 1.887 states/eV/atom. The value obtained for the magnetization is 1.204 μB/cell.

Geometry as POSCAR:
```
CrPRhCl2
1.0
-0.897 -0.029 4.330
-2.875 -3.303 -0.618
3.466 -3.147 0.698
Cl P Cr Rh
2 1 1 1
direct
0.500 0.000 0.000
0.000 0.500 0.000
0.000 0.000 0.500
0.000 0.000 0.000
0.500 0.500 0.500
```


three) Computed, not measured: a relaxed CrPRhCl2 crystal at the PBE level of DFT.

Output
The space group is P4/mmm (123). Its density of states at the Fermi level is 0.552 states/eV/atom. The value obtained for the magnetization is 4.444 μB/cell.

Geometry as POSCAR:
```
CrPRhCl2
1.0
4.993 0.000 0.000
0.000 4.429 0.000
0.000 0.000 4.993
Cl Cr P Rh
2 1 1 1
direct
0.500 0.000 0.000
0.000 0.000 0.500
0.500 0.500 0.500
0.000 0.000 0.000
0.000 0.500 0.000
```


Most stable pick: one). Distance to second place: 0.199 eV/atom.


one) Computed, not measured: a relaxed CrP2RuCl crystal at the PBE level of DFT.

Output
The space group is P4/mmm (123). Its density of states at the Fermi level is 1.039 states/eV/atom. The value obtained for the magnetization is 4.056 μB/cell.

Geometry as POSCAR:
```
CrP2RuCl
1.0
-0.001 3.437 2.836
-4.100 1.111 -1.347
-1.816 -2.714 3.289
Cr Cl Ru P
1 1 1 2
direct
0.000 0.000 0.000
0.000 0.000 0.500
0.500 0.500 0.500
0.500 0.000 0.000
0.000 0.500 0.000
```


two) Computed, not measured: a relaxed CrP2RuCl crystal at the PBE level of DFT.

Output
The space group is P4/mmm (123). Its density of states at the Fermi level is 1.386 states/eV/atom. The value obtained for the magnetization is 0.037 μB/cell.

Geometry as POSCAR:
```
CrP2RuCl
1.0
4.502 0.000 0.000
0.000 4.502 0.000
0.000 0.000 4.952
P Cr Cl Ru
2 1 1 1
direct
0.500 0.000 0.000
0.000 0.500 0.000
0.500 0.500 0.500
0.000 0.000 0.500
0.000 0.000 0.000
```


Most stable pick: one). Distance to second place: 0.208 eV/atom.


one) Computed, not measured: a relaxed CrPRuCl2 crystal at the PBE level of DFT.

Output
The space group is P4/mmm (123). Its density of states at the Fermi level is 1.775 states/eV/atom. The value obtained for the magnetization is 1.537 μB/cell.

Geometry as POSCAR:
```
CrPRuCl2
1.0
4.926 0.000 0.000
0.000 4.926 0.000
0.000 0.000 4.442
P Cr Cl Ru
1 1 2 1
direct
0.000 0.000 0.500
0.500 0.500 0.500
0.000 0.500 0.000
0.500 0.000 0.000
0.000 0.000 0.000
```


two) Computed, not measured: a relaxed CrPRuCl2 crystal at the PBE level of DFT.

Output
The space group is P4/mmm (123). Its density of states at the Fermi level is 1.355 states/eV/atom. The value obtained for the magnetization is 3.077 μB/cell.

Geometry as POSCAR:
```
CrPRuCl2
1.0
4.513 0.000 0.000
0.000 4.513 0.000
0.000 0.000 4.681
Ru Cl P Cr
1 2 1 1
direct
0.500 0.500 0.500
0.500 0.000 0.000
0.000 0.500 0.000
0.000 0.000 0.500
0.000 0.000 0.000
```


Most stable pick: two). Distance to second place: 0.101 eV/atom.


one) Computed, not measured: a relaxed CrPS2Cl crystal at the PBE level of DFT.

Output
The space group is P4/mmm (123). Its density of states at the Fermi level is 1.184 states/eV/atom. The value obtained for the magnetization is 0.080 μB/cell.

Geometry as POSCAR:
```
CrPS2Cl
1.0
-2.772 -3.632 -0.145
0.547 -0.237 -4.532
3.554 -2.735 0.572
Cl S P Cr
1 2 1 1
direct
0.000 0.000 0.000
0.500 0.000 0.000
0.000 0.500 0.000
0.000 0.000 0.500
0.500 0.500 0.500
```


two) Computed, not measured: a relaxed CrPS2Cl crystal at the PBE level of DFT.

Output
The space group is P4/mmm (123). Its density of states at the Fermi level is 0.711 states/eV/atom. The value obtained for the magnetization is 3.777 μB/cell.

Geometry as POSCAR:
```
CrPS2Cl
1.0
-1.530 2.190 3.803
-4.109 0.701 -2.056
-1.514 -3.965 1.674
S Cl Cr P
2 1 1 1
direct
0.500 0.000 0.000
0.000 0.500 0.000
0.000 0.000 0.500
0.000 0.000 0.000
0.500 0.500 0.500
```


Most stable pick: two). Distance to second place: 1.256 eV/atom.


one) Computed, not measured: a relaxed CrP2SCl crystal at the PBE level of DFT.

Output
The space group is P4/mmm (123). Its density of states at the Fermi level is 1.209 states/eV/atom. The value obtained for the magnetization is 0.134 μB/cell.

Geometry as POSCAR:
```
CrP2SCl
1.0
-1.760 3.341 2.481
-2.898 -2.917 1.873
3.031 -0.875 3.328
Cl P Cr S
1 2 1 1
direct
0.000 0.000 0.500
0.000 0.500 0.000
0.500 0.000 0.000
0.500 0.500 0.500
0.000 0.000 0.000
```


two) Computed, not measured: a relaxed CrP2SCl crystal at the PBE level of DFT.

Output
The space group is P4/mmm (123). Its density of states at the Fermi level is 0.728 states/eV/atom. The value obtained for the magnetization is 0.000 μB/cell.

Geometry as POSCAR:
```
CrP2SCl
1.0
-4.334 -0.652 -1.184
1.172 -3.793 -2.203
-0.641 -2.295 3.610
Cr P Cl S
1 2 1 1
direct
0.000 0.000 0.000
0.500 0.000 0.000
0.000 0.500 0.000
0.000 0.000 0.500
0.500 0.500 0.500
```


three) Computed, not measured: a relaxed CrP2SCl crystal at the PBE level of DFT.

Output
The space group is P4/mmm (123). Its density of states at the Fermi level is 0.883 states/eV/atom. The value obtained for the magnetization is 0.023 μB/cell.

Geometry as POSCAR:
```
CrP2SCl
1.0
4.446 0.000 0.000
0.000 4.446 0.000
0.000 0.000 4.650
P Cr Cl S
2 1 1 1
direct
0.000 0.500 0.000
0.500 0.000 0.000
0.500 0.500 0.500
0.000 0.000 0.000
0.000 0.000 0.500
```


four) Computed, not measured: a relaxed CrP2SCl crystal at the PBE level of DFT.

Output
The space group is P4/mmm (123). Its density of states at the Fermi level is 0.607 states/eV/atom. The value obtained for the magnetization is 0.000 μB/cell.

Geometry as POSCAR:
```
CrP2SCl
1.0
4.533 0.000 0.000
0.000 4.533 0.000
0.000 0.000 4.313
Cr P S Cl
1 2 1 1
direct
0.000 0.000 0.000
0.000 0.500 0.000
0.500 0.000 0.000
0.000 0.000 0.500
0.500 0.500 0.500
```


Most stable pick: four). Distance to second place: 0.211 eV/atom.


one) Computed, not measured: a relaxed ScCrP2Cl crystal at the PBE level of DFT.

Output
The space group is P4/mmm (123). Its density of states at the Fermi level is 0.939 states/eV/atom. The value obtained for the magnetization is 0.001 μB/cell.

Geometry as POSCAR:
```
ScCrP2Cl
1.0
4.391 0.000 0.000
0.000 4.391 0.000
0.000 0.000 4.834
Cl Sc P Cr
1 1 2 1
direct
0.000 0.000 0.500
0.500 0.500 0.500
0.500 0.000 0.000
0.000 0.500 0.000
0.000 0.000 0.000
```


two) Computed, not measured: a relaxed ScCrP2Cl crystal at the PBE level of DFT.

Output
The space group is P4/mmm (123). Its density of states at the Fermi level is 0.602 states/eV/atom. The value obtained for the magnetization is 0.300 μB/cell.

Geometry as POSCAR:
```
ScCrP2Cl
1.0
4.975 0.000 0.000
0.000 4.975 0.000
0.000 0.000 4.772
Cr P Sc Cl
1 2 1 1
direct
0.500 0.500 0.500
0.500 0.000 0.000
0.000 0.500 0.000
0.000 0.000 0.000
0.000 0.000 0.500
```


Most stable pick: one). Distance to second place: 0.730 eV/atom.


one) Computed, not measured: a relaxed ScCrPCl2 crystal at the PBE level of DFT.

Output
The space group is P4/mmm (123). Its density of states at the Fermi level is 0.575 states/eV/atom. The value obtained for the magnetization is 3.954 μB/cell.

Geometry as POSCAR:
```
ScCrPCl2
1.0
4.557 0.000 0.000
0.000 4.557 0.000
0.000 0.000 5.074
Cl Sc P Cr
2 1 1 1
direct
0.000 0.500 0.000
0.500 0.000 0.000
0.500 0.500 0.500
0.000 0.000 0.500
0.000 0.000 0.000
```


two) Computed, not measured: a relaxed ScCrPCl2 crystal at the PBE level of DFT.

Output
The space group is P4/mmm (123). Its density of states at the Fermi level is 0.720 states/eV/atom. The value obtained for the magnetization is 4.017 μB/cell.

Geometry as POSCAR:
```
ScCrPCl2
1.0
4.805 0.000 0.000
0.000 4.805 0.000
0.000 0.000 5.352
P Sc Cr Cl
1 1 1 2
direct
0.000 0.000 0.500
0.000 0.000 0.000
0.500 0.500 0.500
0.500 0.000 0.000
0.000 0.500 0.000
```


Most stable pick: two). Distance to second place: 0.051 eV/atom.


one) Computed, not measured: a relaxed CrPSeCl2 crystal at the PBE level of DFT.

Output
The space group is P4/mmm (123). Its density of states at the Fermi level is 0.726 states/eV/atom. The value obtained for the magnetization is 3.999 μB/cell.

Geometry as POSCAR:
```
CrPSeCl2
1.0
4.858 0.000 0.000
0.000 4.858 0.000
0.000 0.000 5.194
Se P Cl Cr
1 1 2 1
direct
0.000 0.000 0.000
0.000 0.000 0.500
0.000 0.500 0.000
0.500 0.000 0.000
0.500 0.500 0.500
```


two) Computed, not measured: a relaxed CrPSeCl2 crystal at the PBE level of DFT.

Output
The space group is P4/mmm (123). Its density of states at the Fermi level is 1.107 states/eV/atom. The value obtained for the magnetization is 0.000 μB/cell.

Geometry as POSCAR:
```
CrPSeCl2
1.0
-0.826 -1.445 4.027
1.900 -3.799 -0.973
4.483 1.838 1.579
Cl Cr P Se
2 1 1 1
direct
0.500 0.000 0.000
0.000 0.500 0.000
0.000 0.000 0.000
0.000 0.000 0.500
0.500 0.500 0.500
```


Most stable pick: two). Distance to second place: 0.431 eV/atom.


one) Computed, not measured: a relaxed CrSnPCl2 crystal at the PBE level of DFT.

Output
The space group is P4/mmm (123). Its density of states at the Fermi level is 0.740 states/eV/atom. The value obtained for the magnetization is 4.137 μB/cell.

Geometry as POSCAR:
```
CrSnPCl2
1.0
-4.308 -0.837 2.741
-0.295 -4.794 -1.926
2.886 -1.781 3.992
Cr P Sn Cl
1 1 1 2
direct
0.500 0.500 0.500
0.000 0.000 0.500
0.000 0.000 0.000
0.500 0.000 0.000
0.000 0.500 0.000
```


two) Computed, not measured: a relaxed CrSnPCl2 crystal at the PBE level of DFT.

Output
The space group is P4/mmm (123). Its density of states at the Fermi level is 0.363 states/eV/atom. The value obtained for the magnetization is 3.069 μB/cell.

Geometry as POSCAR:
```
CrSnPCl2
1.0
4.667 0.000 0.000
0.000 4.667 0.000
0.000 0.000 5.051
Cr Cl P Sn
1 2 1 1
direct
0.000 0.000 0.000
0.000 0.500 0.000
0.500 0.000 0.000
0.000 0.000 0.500
0.500 0.500 0.500
```


Most stable pick: two). Distance to second place: 0.562 eV/atom.


one) Computed, not measured: a relaxed TaCrP2Cl crystal at the PBE level of DFT.

Output
The space group is P4/mmm (123). Its density of states at the Fermi level is 0.478 states/eV/atom. The value obtained for the magnetization is 4.522 μB/cell.

Geometry as POSCAR:
```
TaCrP2Cl
1.0
4.852 0.000 0.000
0.000 4.852 0.000
0.000 0.000 4.790
P Cr Ta Cl
2 1 1 1
direct
0.000 0.500 0.000
0.500 0.000 0.000
0.500 0.500 0.500
0.000 0.000 0.000
0.000 0.000 0.500
```


two) Computed, not measured: a relaxed TaCrP2Cl crystal at the PBE level of DFT.

Output
The space group is P4/mmm (123). Its density of states at the Fermi level is 0.707 states/eV/atom. The value obtained for the magnetization is 4.387 μB/cell.

Geometry as POSCAR:
```
TaCrP2Cl
1.0
-2.176 1.302 3.764
1.680 -3.589 2.212
3.550 2.412 1.217
P Cl Ta Cr
2 1 1 1
direct
0.000 0.500 0.000
0.500 0.000 0.000
0.000 0.000 0.500
0.500 0.500 0.500
0.000 0.000 0.000
```


Most stable pick: one). Distance to second place: 0.401 eV/atom.


one) Computed, not measured: a relaxed CrTePCl2 crystal at the PBE level of DFT.

Output
The space group is P4/mmm (123). Its density of states at the Fermi level is 1.242 states/eV/atom. The value obtained for the magnetization is 0.070 μB/cell.

Geometry as POSCAR:
```
CrTePCl2
1.0
4.412 0.000 0.000
0.000 4.412 0.000
0.000 0.000 5.224
Te Cr Cl P
1 1 2 1
direct
0.500 0.500 0.500
0.000 0.000 0.000
0.500 0.000 0.000
0.000 0.500 0.000
0.000 0.000 0.500
```


two) Computed, not measured: a relaxed CrTePCl2 crystal at the PBE level of DFT.

Output
The space group is P4/mmm (123). Its density of states at the Fermi level is 0.797 states/eV/atom. The value obtained for the magnetization is 4.802 μB/cell.

Geometry as POSCAR:
```
CrTePCl2
1.0
-3.694 1.792 -3.494
-3.581 0.432 4.007
1.507 4.735 0.836
Cl Te P Cr
2 1 1 1
direct
0.000 0.500 0.000
0.500 0.000 0.000
0.000 0.000 0.000
0.000 0.000 0.500
0.500 0.500 0.500
```


Most stable pick: one). Distance to second place: 0.465 eV/atom.


one) Computed, not measured: a relaxed TiCrP2Cl crystal at the PBE level of DFT.

Output
The space group is P4/mmm (123). Its density of states at the Fermi level is 1.333 states/eV/atom. The value obtained for the magnetization is 0.080 μB/cell.

Geometry as POSCAR:
```
TiCrP2Cl
1.0
4.750 0.000 0.000
0.000 4.750 0.000
0.000 0.000 4.562
Cl P Cr Ti
1 2 1 1
direct
0.000 0.000 0.500
0.000 0.500 0.000
0.500 0.000 0.000
0.500 0.500 0.500
0.000 0.000 0.000
```


two) Computed, not measured: a relaxed TiCrP2Cl crystal at the PBE level of DFT.

Output
The space group is P4/mmm (123). Its density of states at the Fermi level is 0.997 states/eV/atom. The value obtained for the magnetization is 3.708 μB/cell.

Geometry as POSCAR:
```
TiCrP2Cl
1.0
4.495 0.000 0.000
0.000 4.495 0.000
0.000 0.000 4.701
P Cr Cl Ti
2 1 1 1
direct
0.500 0.000 0.000
0.000 0.500 0.000
0.000 0.000 0.000
0.000 0.000 0.500
0.500 0.500 0.500
```


Most stable pick: two). Distance to second place: 0.413 eV/atom.


one) Computed, not measured: a relaxed TiCrPCl2 crystal at the PBE level of DFT.

Output
The space group is P4/mmm (123). Its density of states at the Fermi level is 1.573 states/eV/atom. The value obtained for the magnetization is 3.268 μB/cell.

Geometry as POSCAR:
```
TiCrPCl2
1.0
4.530 0.000 0.000
0.000 4.530 0.000
0.000 0.000 5.031
Cr Cl Ti P
1 2 1 1
direct
0.000 0.000 0.000
0.500 0.000 0.000
0.000 0.500 0.000
0.500 0.500 0.500
0.000 0.000 0.500
```


two) Computed, not measured: a relaxed TiCrPCl2 crystal at the PBE level of DFT.

Output
The space group is P4/mmm (123). Its density of states at the Fermi level is 0.813 states/eV/atom. The value obtained for the magnetization is 4.772 μB/cell.

Geometry as POSCAR:
```
TiCrPCl2
1.0
-3.416 -2.531 -1.896
2.158 0.175 -4.121
2.500 -4.220 1.130
Ti Cr Cl P
1 1 2 1
direct
0.000 0.000 0.000
0.500 0.500 0.500
0.000 0.500 0.000
0.500 0.000 0.000
0.000 0.000 0.500
```


Most stable pick: two). Distance to second place: 0.325 eV/atom.